First-principles (GGA-PBE) data for V2TcC after structural relaxation, as listed in Alexandria via LeMat-Bulk.

Geometry as extended XYZ:
```
8
Lattice="-3.422 3.422 2.139 3.422 -3.422 2.139 3.422 3.422 -2.139" Properties=species:S:1:pos:R:3 pbc="T T T"
V 5.133 0.915 -0.535
V 0.915 1.711 0.535
V -1.711 2.507 1.604
V 2.507 1.711 2.674
Tc 3.422 0.000 1.069
Tc 0.000 0.000 2.139
C 0.000 0.000 0.000
C 0.000 3.422 1.069
```

Values from the calculation:
**Energy of formation**: 17 meV per atom
**Calculated volume**: 12.5 Å³/atom

***

First-principles (GGA-PBE) data for TbHo2S3 after structural relaxation, as listed in Alexandria via LeMat-Bulk.

Geometry as extended XYZ:
```
6
Lattice="-1.954 2.752 5.838 1.954 -2.752 5.838 1.954 2.752 -5.838" Properties=species:S:1:pos:R:3 pbc="T T T"
Tb 0.000 0.000 0.000
Ho 0.000 0.000 3.910
Ho 0.000 0.000 7.767
S 1.954 0.000 1.975
S 0.000 2.752 0.000
S 0.000 2.752 3.863
```

Values from the calculation:
**Uncorrected formation energy**: -1.98 eV per atom
**Calculated volume**: 20.9 Å³/atom

***

First-principles (GGA-PBE) data for Tm2ZnNi4Ge3 after structural relaxation, as listed in Alexandria via LeMat-Bulk.

Geometry as extended XYZ:
```
10
Lattice="4.007 0.000 0.000 0.000 4.007 0.000 0.000 0.000 9.842" Properties=species:S:1:pos:R:3 pbc="T T T"
Tm 0.000 2.004 2.460
Tm 2.004 0.000 7.382
Zn 0.000 0.000 4.921
Ni 0.000 0.000 0.000
Ni 0.000 2.004 6.257
Ni 2.004 0.000 3.585
Ni 2.004 2.004 0.000
Ge 0.000 2.004 8.554
Ge 2.004 0.000 1.288
Ge 2.004 2.004 4.921
```

Values from the calculation:
**Energy of formation**: -624 meV per atom
**Calculated volume**: 15.8 Å³/atom

***

First-principles (GGA-PBE) data for PrEr2Sc after structural relaxation, as listed in Alexandria via LeMat-Bulk.

Geometry as extended XYZ:
```
4
Lattice="4.915 0.000 0.000 0.000 4.915 0.000 0.000 0.000 5.010" Properties=species:S:1:pos:R:3 pbc="T T T"
Pr 0.000 0.000 0.000
Er 0.000 2.457 2.505
Er 2.457 0.000 2.505
Sc 2.457 2.457 0.000
```

Values from the calculation:
**Energy of formation**: 47 meV per atom
**Relative energy among the computed polymorphs**: 18 meV/atom
**Calculated volume**: 30.3 Å³/atom

***

First-principles (GGA-PBE) data for Th8SnSb4Te3 after structural relaxation, as listed in Alexandria via LeMat-Bulk.

Geometry as extended XYZ:
```
16
Lattice="4.499 2.597 7.343 -4.499 2.597 7.343 0.000 -5.195 7.343" Properties=species:S:1:pos:R:3 pbc="T T T"
Th -2.268 -1.310 12.834
Th 0.000 0.000 5.476
Th 0.000 -2.619 9.195
Th -2.268 1.310 9.195
Th 2.268 -1.310 12.834
Th 0.000 2.619 12.834
Th 0.000 0.000 16.552
Th 2.268 1.310 9.195
Sn 0.000 0.000 0.000
Sb -4.499 0.000 11.014
Sb -2.249 1.299 3.671
Sb 2.249 1.299 3.671
Sb 0.000 0.000 11.014
Te -2.249 -1.299 7.343
Te -2.249 1.299 14.686
Te 0.000 2.597 7.343
```

Values from the calculation:
**Uncorrected formation energy**: -0.91 eV per atom
**Calculated volume**: 32.2 Å³/atom

***

First-principles (GGA-PBE) data for Ce12AlOs7 after structural relaxation, as listed in Alexandria via LeMat-Bulk.

Geometry as extended XYZ:
```
20
Lattice="7.120 4.111 2.783 -7.120 4.111 2.783 0.000 -8.221 2.783" Properties=species:S:1:pos:R:3 pbc="T T T"
Ce -1.394 -1.686 2.263
Ce -3.598 0.913 3.018
Ce 1.008 -3.573 3.018
Ce -0.764 2.050 2.263
Ce -2.590 -2.660 5.331
Ce 2.157 -0.364 2.263
Ce -2.157 0.364 6.086
Ce 2.590 2.660 3.018
Ce 0.764 -2.050 6.086
Ce -1.008 3.573 5.331
Ce 3.598 -0.913 5.331
Ce 1.394 1.686 6.086
Al 0.000 0.000 0.000
Os -6.246 1.625 3.383
Os -4.530 -4.597 4.966
Os 1.716 -6.222 3.383
Os 0.000 0.000 4.175
Os -1.716 6.222 4.966
Os 4.530 4.597 3.383
Os 6.246 -1.625 4.966
```

Values from the calculation:
**Energy of formation**: -134 meV per atom
**Calculated volume**: 24.4 Å³/atom

***

First-principles (GGA-PBE) data for Ba2Sr4Au after structural relaxation, as listed in Alexandria via LeMat-Bulk.

Geometry as extended XYZ:
```
7
Lattice="-3.041 3.041 10.811 3.041 -3.041 10.811 3.041 3.041 -10.811" Properties=species:S:1:pos:R:3 pbc="T T T"
Ba 0.000 0.000 3.567
Ba 0.000 0.000 18.054
Sr 3.041 0.000 0.000
Sr 0.000 0.000 7.740
Sr 0.000 3.041 0.000
Sr 0.000 0.000 13.881
Au 0.000 0.000 10.811
```

Values from the calculation:
**Energy of formation**: -131 meV per atom
**Calculated volume**: 57.1 Å³/atom

***

First-principles (GGA-PBE) data for Sm7DyEr3 after structural relaxation, as listed in Alexandria via LeMat-Bulk.

Geometry as extended XYZ:
```
11
Lattice="7.039 0.000 0.000 0.000 5.601 0.000 -3.488 0.000 9.328" Properties=species:S:1:pos:R:3 pbc="T T T"
Sm 0.000 0.000 0.000
Sm 0.012 2.801 2.724
Sm 0.027 2.801 5.977
Sm 0.038 0.000 7.740
Sm 3.513 0.000 1.588
Sm 3.524 2.801 3.351
Sm 3.539 2.801 6.604
Dy -1.744 0.000 4.664
Er -1.523 2.801 9.324
Er 1.775 0.000 4.664
Er 5.074 2.801 0.004
```

Values from the calculation:
**Energy of formation**: 125 meV per atom
**Relative energy among the computed polymorphs**: 0 meV/atom
**Calculated volume**: 33.4 Å³/atom

***

| no. | VASP energy (eV per atom) |
| --- | --- |
| 1 | -9.44 |
| 2 | -6.35 |
| 3 | -5.34 |
| 4 | -5.01 |
| 5 | -6.49 |
| 6 | -7.81 |
| 7 | -2.11 |
| 8 | -4.54 |